La2ThTaCl3O6: optimized geometry, PBE.

Cell and atoms, written as extended XYZ:
```
26
Lattice="9.421 0.000 0.000 0.000 5.478 0.000 -4.633 0.000 8.220" Properties=species:S:1:pos:R:3 pbc="T T T"
La 0.000 0.000 0.000
La -1.023 2.739 3.229
La 2.601 2.739 1.393
La 2.386 2.739 5.570
Th -1.039 0.000 6.210
Th 4.860 0.000 4.078
Ta -3.360 2.739 6.150
Ta 1.311 0.000 3.430
Cl -0.026 2.739 7.321
Cl 3.996 0.000 1.069
Cl 1.967 0.000 6.934
Cl 5.364 2.739 2.695
Cl 8.070 2.739 0.224
Cl 7.309 0.000 2.256
O -2.395 1.423 4.970
O -2.395 4.056 4.970
O -2.782 1.432 7.548
O -2.782 4.046 7.548
O 0.772 1.290 2.006
O 0.772 4.188 2.006
O 0.320 1.268 4.642
O 0.320 4.211 4.642
O 2.861 1.264 3.692
O 2.861 4.214 3.692
O 4.552 1.435 5.845
O 4.552 4.043 5.845
```

***

LaTcClO4: optimized geometry, PBE.

Cell and atoms, written as extended XYZ:
```
14
Lattice="5.354 -3.766 0.000 5.354 3.766 0.000 -1.775 0.000 6.875" Properties=species:S:1:pos:R:3 pbc="T T T"
La 2.158 0.000 0.751
La 6.775 0.000 6.124
Tc 2.631 0.000 4.981
Tc 6.302 0.000 1.894
Cl -1.210 0.000 5.254
Cl 10.143 0.000 1.621
O 1.760 1.346 5.866
O 2.236 0.000 3.275
O 4.601 0.000 1.479
O 1.760 -1.346 5.866
O 7.173 1.346 1.009
O 4.333 0.000 5.396
O 6.697 0.000 3.600
O 7.173 -1.346 1.009
```

***

La6Tc2Cl3O: optimized geometry, PBE.

Cell and atoms, written as extended XYZ:
```
12
Lattice="3.487 -5.898 0.000 3.487 5.898 0.000 -2.296 0.000 7.669" Properties=species:S:1:pos:R:3 pbc="T T T"
La 0.128 1.882 5.328
La 0.771 0.000 2.208
La 0.128 -1.882 5.328
La 4.551 1.882 2.341
La 3.907 0.000 5.461
La 4.551 -1.882 2.341
Tc 2.339 1.573 3.835
Tc 2.339 -1.573 3.835
Cl 3.487 3.743 0.000
Cl 3.487 0.000 0.000
Cl 3.487 -3.743 0.000
O -1.148 0.000 3.835
```

***

LaTe2ClO: optimized geometry, PBE.

Cell and atoms, written as extended XYZ:
```
5
Lattice="6.692 0.000 0.000 0.000 6.692 0.000 0.000 0.000 4.159" Properties=species:S:1:pos:R:3 pbc="T T T"
La 0.000 0.000 0.000
Te 0.000 3.346 0.000
Te 3.346 0.000 0.000
Cl 3.346 3.346 2.079
O 0.000 0.000 2.079
```

***

LaTeClO4: optimized geometry, PBE.

Cell and atoms, written as extended XYZ:
```
14
Lattice="5.385 -3.824 0.000 5.385 3.824 0.000 -2.082 0.000 6.946" Properties=species:S:1:pos:R:3 pbc="T T T"
La 2.133 0.000 0.879
La 6.554 0.000 6.068
Te 2.380 0.000 5.101
Te 6.308 0.000 1.845
Cl -1.461 0.000 5.360
Cl 10.148 0.000 1.586
O 1.463 1.395 5.915
O 2.143 0.000 3.293
O 4.537 0.000 1.405
O 1.463 -1.395 5.915
O 7.224 1.395 1.031
O 4.151 0.000 5.541
O 6.544 0.000 3.653
O 7.224 -1.395 1.031
```

***

La2TiClO: optimized geometry, PBE.

Cell and atoms, written as extended XYZ:
```
5
Lattice="4.758 0.000 0.000 0.000 4.758 0.000 0.000 0.000 5.849" Properties=species:S:1:pos:R:3 pbc="T T T"
La 0.000 2.379 0.000
La 2.379 0.000 0.000
Ti 0.000 0.000 2.925
Cl 2.379 2.379 2.925
O 2.379 2.379 0.000
```

***

Short version: formation energy from raw total energies = -303.88, -203.50, -121.55, -63.78, -174.67, -87.57 kJ/mol of atoms, in the order given.
Short version: E = -210.7, -103.5, -75.9, -21.3, -84.8, -29.1 eV per cell, in the order given.